A plane-wave DFT calculation with meta-GGA SCAN was carried out for a PBEsol-optimized structure of SrHCl.

Cell: 4.0469 4.0469 6.8733 Å, 90.00 90.00 90.00°
With the nearest neighbours (Å) after each atom.
Space group P4/nmm (No. 129, origin choice 2)
Symmetry-distinct sites (fractional):
1 Sr 0.2500 0.2500 0.2035 x2  4 H 2.46
2 H 0.2500 0.7500 0.0000 x2  4 Sr 2.46
3 Cl 0.2500 0.2500 0.6494 x2  5 Sr 3.03-3.06, 4 H 3.15

Summary:
E_tot: -78.115 eV per cell

=====

A plane-wave DFT calculation with meta-GGA SCAN was carried out for a PBEsol-optimized structure of Sr2H2Cl.

Cell: 3.8253 3.8253 13.7042 Å, 90.00 90.00 90.00°
With the nearest neighbours (Å) after each atom.
Space group I4/mmm (No. 139)
Symmetry-distinct sites (fractional):
1 Sr 0.0000 0.0000 0.1495 x4  4 H 2.36
2 H 0.0000 0.5000 0.2500 x4  4 Sr 2.36
3 Cl 0.0000 0.0000 0.5000 x2  8 Sr 3.39

Summary:
E_tot: -129.277 eV per cell

=====

A plane-wave DFT calculation with meta-GGA SCAN was carried out for a PBEsol-optimized structure of TaHWCl2.

Cell: 4.5851 4.5851 5.0959 Å, 90.00 90.00 90.00°
With the nearest neighbours (Å) after each atom.
Space group P4/mmm (No. 123)
Symmetry-distinct sites (fractional):
1 Ta 0.0000 0.0000 0.0000 x1  2 W 2.55
2 H 0.5000 0.5000 0.0000 x1  4 Ta 3.24, 8 Cl 3.43
3 W 0.0000 0.0000 0.5000 x1  4 Cl 2.29, 2 Ta 2.55
4 Cl 0.0000 0.5000 0.5000 x2  2 W 2.29

Summary:
E_tot: -149.340 eV per cell